1.
# RbLiPS3, optimized geometry, DFT PBE-GGA
# DOS at the Fermi energy	0.00	states/eV/atom
# volume	27.92	Å³/atom
# total energy	-4.33	eV per atom
# formation energy without anion corrections	-889	meV/atom
data_RbLiPS3
_chemical_formula_sum 'Rb4 Li4 P4 S12'
_cell_length_a 12.739
_cell_length_b 7.240
_cell_length_c 7.286
_cell_angle_alpha 90.00
_cell_angle_beta 94.38
_cell_angle_gamma 90.00
_space_group_name_H-M_alt 'C 1 2/m 1'
_space_group_IT_number 12
loop_
_space_group_symop_operation_xyz
'x,y,z'
'-x,-y,-z'
'-x,y,-z'
'x,-y,z'
'x+1/2,y+1/2,z'
'-x+1/2,-y+1/2,-z'
'-x+1/2,y+1/2,-z'
'x+1/2,-y+1/2,z'
loop_
_atom_site_label
_atom_site_type_symbol
_atom_site_fract_x
_atom_site_fract_y
_atom_site_fract_z
Rb1 Rb 0.166 0.000 0.180
Li1 Li 0.000 0.310 0.500
P1 P 0.018 0.500 0.848
S1 S 0.098 0.262 0.802
S2 S 0.120 0.500 0.314

***

2.
# K2CoAs, optimized geometry, DFT PBE-GGA
# DOS at the Fermi energy	0.86	states/eV/atom
# volume	44.09	Å³/atom
# total energy	-3.42	eV per atom
data_K2CoAs
_chemical_formula_sum 'K8 Co4 As4'
_cell_length_a 12.654
_cell_length_b 12.654
_cell_length_c 4.406
_cell_angle_alpha 90.00
_cell_angle_beta 90.00
_cell_angle_gamma 90.00
_space_group_name_H-M_alt 'I -4 2 d'
_space_group_IT_number 122
_space_group_name_Hall 'I -4 2bw'
loop_
_atom_site_label
_atom_site_type_symbol
_atom_site_fract_x
_atom_site_fract_y
_atom_site_fract_z
K1 K 0.035 0.250 0.125
Co1 Co 0.000 0.000 0.500
As1 As 0.000 0.000 0.000

***

3.
# Cd2TcCl, optimized geometry, DFT PBE-GGA
# DOS at the Fermi energy	0.65	states/eV/atom
# volume	19.05	Å³/atom
# total energy	-3.17	eV per atom
# formation energy without anion corrections	344	meV/atom
# energy above the most stable polymorph in this dataset	224	meV/atom
data_Cd2TcCl
_chemical_formula_sum 'Cd4 Tc2 Cl2'
_cell_length_a 5.903
_cell_length_b 8.506
_cell_length_c 3.035
_cell_angle_alpha 90.00
_cell_angle_beta 90.00
_cell_angle_gamma 90.00
_space_group_name_H-M_alt 'C m m m'
_space_group_IT_number 65
_space_group_name_Hall '-C 2 2'
loop_
_atom_site_label
_atom_site_type_symbol
_atom_site_fract_x
_atom_site_fract_y
_atom_site_fract_z
Cd1 Cd 0.250 0.250 0.000
Tc1 Tc 0.000 0.000 0.500
Cl1 Cl 0.000 0.500 0.500